Density functional theory data (SCAN) for Cd2P at its PBEsol-relaxed geometry.

Results
- Magnetic moment: 0.00 μB per cell
- ΔH_f (0 K): 288.9 meV per atom
- ΔE to the lowest computed polymorph: 129 meV per atom

Cell lengths 5.636, 5.636, 5.636 Å; angles 90.00, 90.00, 90.00 degrees
Fractional coordinates of all 6 atoms:
Cd1 0.000 0.000 0.000
Cd2 0.000 0.500 0.500
Cd3 0.500 0.000 0.500
Cd4 0.500 0.500 0.000
P1 0.250 0.250 0.250
P2 0.750 0.750 0.750

---

Density functional theory data (SCAN) for Ca3Al2Ge3 at its PBEsol-relaxed geometry.

Results
- Magnetic moment: 0.00 μB per cell
- ΔH_f (0 K): -593.2 meV per atom

Cell lengths 11.247, 4.332, 14.564 Å; angles 90.00, 90.00, 90.00 degrees
Fractional coordinates of all 32 atoms:
Ca1 0.105 0.250 0.062
Ca2 0.105 0.750 0.432
Ca3 0.122 0.250 0.796
Ca4 0.378 0.750 0.296
Ca5 0.395 0.250 0.932
Ca6 0.395 0.750 0.562
Ca7 0.605 0.250 0.438
Ca8 0.605 0.750 0.068
Ca9 0.622 0.250 0.704
Ca10 0.878 0.750 0.204
Ca11 0.895 0.250 0.568
Ca12 0.895 0.750 0.938
Al1 0.145 0.250 0.289
Al2 0.183 0.250 0.586
Al3 0.317 0.750 0.086
Al4 0.355 0.750 0.789
Al5 0.645 0.250 0.211
Al6 0.683 0.250 0.914
Al7 0.817 0.750 0.414
Al8 0.855 0.750 0.711
Ge1 0.071 0.750 0.638
Ge2 0.140 0.750 0.199
Ge3 0.198 0.750 0.932
Ge4 0.302 0.250 0.432
Ge5 0.360 0.250 0.699
Ge6 0.429 0.250 0.138
Ge7 0.571 0.750 0.862
Ge8 0.640 0.750 0.301
Ge9 0.698 0.750 0.568
Ge10 0.802 0.250 0.068
Ge11 0.860 0.250 0.801
Ge12 0.929 0.250 0.362

---

Density functional theory data (SCAN) for Cs2KInBr6 at its PBEsol-relaxed geometry.

Results
- Magnetic moment: 0.00 μB per cell
- ΔE_f (raw): -1544 kJ/mol of formula units

Cell lengths 8.094, 8.094, 8.094 Å; angles 60.00, 60.00, 60.00 degrees
Fractional coordinates of all 10 atoms:
Cs1 0.250 0.250 0.250
Cs2 0.750 0.750 0.750
K1 0.000 0.000 0.000
In1 0.500 0.500 0.500
Br1 0.267 0.267 0.733
Br2 0.267 0.733 0.267
Br3 0.267 0.733 0.733
Br4 0.733 0.267 0.267
Br5 0.733 0.267 0.733
Br6 0.733 0.733 0.267

---

Density functional theory data (SCAN) for CuTeAs2 at its PBEsol-relaxed geometry.

Results
- Magnetic moment: 0.00 μB per cell
- ΔE_f (raw): 103 kJ/mol of formula units

Cell lengths 3.007, 3.007, 8.813 Å; angles 90.00, 90.00, 90.00 degrees
Fractional coordinates of all 4 atoms:
Cu1 0.000 0.000 0.000
Te1 0.000 0.000 0.500
As1 0.500 0.500 0.169
As2 0.500 0.500 0.831

---

| no. | ρ (g/cm3) |
| --- | --- |
| 1 | 4.746 |
| 2 | 3.671 |
| 3 | 3.982 |
| 4 | 7.107 |